The following is a DFT calculation (PBE-GGA) of an optimized crystal structure of TbMg2Pb3.

Cell and atoms, written as CIF:
```
data_TbMg2Pb3
_symmetry_space_group_name_H-M 'C m m m'
_symmetry_Int_Tables_number 65
_symmetry_space_group_name_Hall '-C 2 2'
_cell_length_a 4.866
_cell_length_b 14.860
_cell_length_c 4.428
_cell_angle_alpha 90.00
_cell_angle_beta 90.00
_cell_angle_gamma 90.00
loop_
_atom_site_label
_atom_site_type_symbol
_atom_site_fract_x
_atom_site_fract_y
_atom_site_fract_z
Tb1 Tb 0.000 0.000 0.000
Mg1 Mg 0.000 0.330 0.000
Pb1 Pb 0.000 0.169 0.500
Pb2 Pb 0.000 0.500 0.500
```

Output
Its formation energy is -0.24 eV/atom. The density of states at the Fermi level is 4.713 states/eV per cell. For the distance to the lowest polymorph of the same formula, the calculation gives 0.0 meV per atom. The total energy comes out at -40.778 eV for the cell shown.

=====

The following is a DFT calculation (PBE-GGA) of an optimized crystal structure of MnTc2Rh.

Cell and atoms, written as CIF:
```
data_MnTc2Rh
_symmetry_space_group_name_H-M 'P 4/m m m'
_symmetry_Int_Tables_number 123
_symmetry_space_group_name_Hall '-P 4 2'
_cell_length_a 3.761
_cell_length_b 3.761
_cell_length_c 3.904
_cell_angle_alpha 90.00
_cell_angle_beta 90.00
_cell_angle_gamma 90.00
loop_
_atom_site_label
_atom_site_type_symbol
_atom_site_fract_x
_atom_site_fract_y
_atom_site_fract_z
Mn1 Mn 0.000 0.000 0.000
Tc1 Tc 0.000 0.500 0.500
Rh1 Rh 0.500 0.500 0.000
```

Output
Its formation energy is -0.03 eV/atom. The density of states at the Fermi level is 4.040 states/eV per cell. For the distance to the lowest polymorph of the same formula, the calculation gives 0.0 meV per atom. The total energy comes out at -37.358 eV for the cell shown.

=====

The following is a DFT calculation (PBE-GGA) of an optimized crystal structure of K2PbSe2O6.

Cell and atoms, written as CIF:
```
data_K2PbSe2O6
_symmetry_space_group_name_H-M 'R -3 m'
_symmetry_Int_Tables_number 166
_symmetry_space_group_name_Hall '-R 3 2"'
_cell_length_a 5.9851
_cell_length_b 5.9851
_cell_length_c 20.2934
_cell_angle_alpha 90.00
_cell_angle_beta 90.00
_cell_angle_gamma 120.00
loop_
_atom_site_label
_atom_site_type_symbol
_atom_site_fract_x
_atom_site_fract_y
_atom_site_fract_z
K1 K 0.0000 0.0000 0.1959
Pb1 Pb 0.0000 0.0000 0.0000
Se1 Se 0.0000 0.0000 0.3852
O1 O 0.0294 0.5147 0.2467
```

Output
The density of states at the Fermi level is 0.000 states/eV per cell. The total energy comes out at -169.845 eV for the cell shown.

=====

The lowest density of states at the Fermi level belongs to which entry?
K2PbSe2O6

=====

Copy entry 2 word for word.
The following is a DFT calculation (PBE-GGA) of an optimized crystal structure of MnTc2Rh.

Cell and atoms, written as CIF:
```
data_MnTc2Rh
_symmetry_space_group_name_H-M 'P 4/m m m'
_symmetry_Int_Tables_number 123
_symmetry_space_group_name_Hall '-P 4 2'
_cell_length_a 3.761
_cell_length_b 3.761
_cell_length_c 3.904
_cell_angle_alpha 90.00
_cell_angle_beta 90.00
_cell_angle_gamma 90.00
loop_
_atom_site_label
_atom_site_type_symbol
_atom_site_fract_x
_atom_site_fract_y
_atom_site_fract_z
Mn1 Mn 0.000 0.000 0.000
Tc1 Tc 0.000 0.500 0.500
Rh1 Rh 0.500 0.500 0.000
```

Output
Its formation energy is -0.03 eV/atom. The density of states at the Fermi level is 4.040 states/eV per cell. For the distance to the lowest polymorph of the same formula, the calculation gives 0.0 meV per atom. The total energy comes out at -37.358 eV for the cell shown.

=====

What is the density of states at the Fermi level in the second record?
4.040 states/eV per cell

=====

What did the second record say?
The following is a DFT calculation (PBE-GGA) of an optimized crystal structure of MnTc2Rh.

Cell and atoms, written as CIF:
```
data_MnTc2Rh
_symmetry_space_group_name_H-M 'P 4/m m m'
_symmetry_Int_Tables_number 123
_symmetry_space_group_name_Hall '-P 4 2'
_cell_length_a 3.761
_cell_length_b 3.761
_cell_length_c 3.904
_cell_angle_alpha 90.00
_cell_angle_beta 90.00
_cell_angle_gamma 90.00
loop_
_atom_site_label
_atom_site_type_symbol
_atom_site_fract_x
_atom_site_fract_y
_atom_site_fract_z
Mn1 Mn 0.000 0.000 0.000
Tc1 Tc 0.000 0.500 0.500
Rh1 Rh 0.500 0.500 0.000
```

Output
Its formation energy is -0.03 eV/atom. The density of states at the Fermi level is 4.040 states/eV per cell. For the distance to the lowest polymorph of the same formula, the calculation gives 0.0 meV per atom. The total energy comes out at -37.358 eV for the cell shown.